Entry from the Alexandria database: an optimized crystal structure of MnFeCu (PBE-GGA).

## Properties
ΔE to the lowest computed polymorph = 27.4 meV/atom
ΔH_f (0 K) = 16.1 kJ/mol of atoms
Space-group type = No. 156
M_tot = 0.2 μB per formula unit

a = 2.487 Å, b = 2.487 Å, c = 6.262 Å
α = 90.00°, β = 90.00°, γ = 120.00°
Fractional coordinates of all 3 atoms:
Cu: 0.000 0.000 0.001
Fe: 0.667 0.333 0.348
Mn: 0.333 0.667 0.651